# 1
This record from Alexandria describes a relaxed Li2AgOs crystal. The functional is GGA-PBE.

POSCAR file:
```
Li2AgOs
1.0
-1.7019 1.2408 -3.9251
2.1697 -0.7247 -1.1699
-0.8635 -5.0392 -1.2185
Os Ag Li
1 1 2
Direct
0.0000 0.4470 0.4868
0.5000 0.8127 0.7504
0.5000 0.0683 0.2568
0.0000 0.1720 0.0060
```

Space-group type   No. 6
Final energy   -16.9 eV for the cell shown
Crystal system   monoclinic

# 2
This record from Alexandria describes a relaxed TiTe2O crystal. The functional is GGA-PBE.

POSCAR file:
```
TiTe2O
1.0
5.7291 0.0000 0.0000
0.0000 5.7291 0.0000
2.8646 2.8646 6.1012
O Ti Te
2 2 4
Direct
0.5000 0.5000 0.0000
0.2500 0.7500 0.5000
0.0000 0.0000 0.0000
0.7500 0.2500 0.5000
0.1648 0.6250 0.2500
0.8750 0.8352 0.7500
0.5852 0.1250 0.2500
0.3750 0.4148 0.7500
```

Space-group type   No. 122
ΔE_f (raw)   -0.07 eV/atom
Crystal system   tetragonal